Entry 1:
The following is a PBE-GGA calculation of an optimized crystal structure of TbZrBe, from Alexandria.

a = 3.2893 Å, b = 3.2893 Å, c = 6.2690 Å
α = 105.21°, β = 105.21°, γ = 90.00°
Fractional positions:
Be1 0.6802 0.6802 0.3604
Tb1 0.0147 0.0147 0.0294
Zr1 0.3051 0.3051 0.6102

Values from the calculation:
formation energy from the elements: 0.103 eV per atom
calculated volume: 20.996 A^3/atom
space group: I4mm, No. 107
calculated total energy: -5.53 eV/atom
total magnetic moment: 0.00 μB per formula unit
Fermi-level density of states: 1.025 states/eV per atom



Entry 2:
The following is a PBE-GGA calculation of an optimized crystal structure of TbZrBe17, from Alexandria.

a = 5.7546 Å, b = 5.7546 Å, c = 5.7546 Å
α = 82.95°, β = 82.95°, γ = 82.95°
Fractional positions:
Tb1 0.6611 0.6611 0.6611
Zr1 0.3365 0.3365 0.3365
Be1 0.2814 0.0012 0.7165
Be2 0.7165 0.2814 0.0012
Be3 0.0012 0.7165 0.2814
Be4 0.2814 0.7165 0.0012
Be5 0.0012 0.2814 0.7165
Be6 0.7165 0.0012 0.2814
Be7 0.3382 0.8430 0.3382
Be8 0.3382 0.3382 0.8430
Be9 0.8430 0.3382 0.3382
Be10 0.6586 0.1594 0.6586
Be11 0.6586 0.6586 0.1594
Be12 0.1594 0.6586 0.6586
Be13 0.0032 0.4981 0.0032
Be14 0.0032 0.0032 0.4981
Be15 0.4981 0.0032 0.0032
Be16 0.9063 0.9063 0.9063
Be17 0.0975 0.0975 0.0975

Values from the calculation:
formation energy from the elements: -0.187 eV per atom
calculated volume: 9.820 A^3/atom
space group: R3m, No. 160
calculated total energy: -4.21 eV/atom
total magnetic moment: 0.00 μB per formula unit
Fermi-level density of states: 0.199 states/eV per atom



Entry 3:
The following is a PBE-GGA calculation of an optimized crystal structure of TbZrBe4, from Alexandria.

a = 4.9083 Å, b = 4.9083 Å, c = 4.9083 Å
α = 60.00°, β = 60.00°, γ = 60.00°
Fractional positions:
Be1 0.6205 0.6205 0.1386
Be2 0.6205 0.1386 0.6205
Be3 0.6205 0.6205 0.6205
Be4 0.1386 0.6205 0.6205
Tb1 0.0000 0.0000 0.0000
Zr1 0.2500 0.2500 0.2500

Values from the calculation:
formation energy from the elements: 0.036 eV per atom
calculated volume: 13.935 A^3/atom
space group: F-43m, No. 216
calculated total energy: -4.64 eV/atom
total magnetic moment: 0.00 μB per formula unit
Fermi-level density of states: 0.645 states/eV per atom



Entry 4:
The following is a PBE-GGA calculation of an optimized crystal structure of BeTc, from Alexandria.

a = 4.3868 Å, b = 4.3868 Å, c = 4.3868 Å
α = 55.79°, β = 55.79°, γ = 55.79°
Fractional positions:
Be1 0.0968 0.0968 0.0968
Be2 0.9032 0.9032 0.9032
Tc1 0.3068 0.3068 0.3068
Tc2 0.6932 0.6932 0.6932

Values from the calculation:
formation energy from the elements: 0.384 eV per atom
calculated volume: 13.468 A^3/atom
space group: R-3m, No. 166
calculated total energy: -6.66 eV/atom
total magnetic moment: 0.00 μB per formula unit
Fermi-level density of states: 0.522 states/eV per atom



Entry 5:
The following is a PBE-GGA calculation of an optimized crystal structure of Be3Tc, from Alexandria.

a = 3.3828 Å, b = 3.3828 Å, c = 3.3828 Å
α = 90.00°, β = 90.00°, γ = 90.00°
Each line ends with the local moment (μB).
Fractional positions:
Be1 0.0000 0.5000 0.5000  0.00
Be2 0.5000 0.0000 0.5000  0.00
Be3 0.5000 0.5000 0.0000  0.00
Tc1 0.0000 0.0000 0.0000  0.26

Values from the calculation:
formation energy from the elements: -0.269 eV per atom
calculated volume: 9.678 A^3/atom
space group: Pm-3m, No. 221
calculated total energy: -5.66 eV/atom
total magnetic moment: 0.26 μB per formula unit
Fermi-level density of states: 0.496 states/eV per atom



Entry 6:
The following is a PBE-GGA calculation of an optimized crystal structure of Be3Tc2, from Alexandria.

a = 6.9321 Å, b = 6.1302 Å, c = 4.5759 Å
α = 79.25°, β = 60.32°, γ = 40.43°
Fractional positions:
Be1 0.8249 0.4127 0.3246
Be2 0.4379 0.3246 0.4127
Be3 0.8373 0.4251 0.8121
Be4 0.9254 0.8121 0.4251
Be5 0.9668 0.0332 0.0332
Be6 0.2168 0.2832 0.2832
Tc1 0.2650 0.8413 0.3883
Tc2 0.5054 0.3883 0.8413
Tc3 0.4087 0.9850 0.7446
Tc4 0.8617 0.7446 0.9850

Values from the calculation:
formation energy from the elements: -0.266 eV per atom
calculated volume: 10.312 A^3/atom
space group: Fdd2, No. 43
calculated total energy: -6.65 eV/atom
total magnetic moment: 0.00 μB per formula unit
Fermi-level density of states: 0.675 states/eV per atom